[1]
# CoOF2 GGA+U relaxed
# SG: Fm-3m, No. 225
# calculated volume: 9.409 Å³/atom
# D(E_F): 1.24 states/eV/cell
# distance to the lowest polymorph of the same formula: 0.790 eV per atom
data_CoOF2
_symmetry_space_group_name_H-M 'P 1'
_symmetry_Int_Tables_number 1
_symmetry_space_group_name_Hall 'P 1'
_cell_length_a 3.762
_cell_length_b 3.762
_cell_length_c 3.762
_cell_angle_alpha 60.00
_cell_angle_beta 60.00
_cell_angle_gamma 60.00
loop_
_atom_site_label
_atom_site_fract_x
_atom_site_fract_y
_atom_site_fract_z
F1 0.750 0.750 0.750
F2 0.250 0.250 0.250
O1 0.000 0.000 0.000
Co1 0.500 0.500 0.500

=====

[2]
# Co2OF3 GGA+U relaxed
# SG: C2/m, No. 12
# calculated volume: 11.527 Å³/atom
# distance to the lowest polymorph of the same formula: 0.000 eV per atom
data_Co2OF3
_symmetry_space_group_name_H-M 'P 1'
_symmetry_Int_Tables_number 1
_symmetry_space_group_name_Hall 'P 1'
_cell_length_a 9.977
_cell_length_b 9.977
_cell_length_c 4.752
_cell_angle_alpha 86.83
_cell_angle_beta 86.83
_cell_angle_gamma 35.87
loop_
_atom_site_label
_atom_site_fract_x
_atom_site_fract_y
_atom_site_fract_z
O1 0.173 0.173 0.311
O2 0.827 0.827 0.689
O3 0.581 0.581 0.681
O4 0.419 0.419 0.319
F1 0.682 0.682 0.276
F2 0.452 0.953 0.807
F3 0.302 0.800 0.191
F4 0.548 0.047 0.193
F5 0.926 0.926 0.312
F6 0.200 0.698 0.809
F7 0.953 0.452 0.807
F8 0.047 0.548 0.193
F9 0.074 0.074 0.688
F10 0.698 0.200 0.809
F11 0.800 0.302 0.191
F12 0.318 0.318 0.724
Co1 0.617 0.134 0.503
Co2 0.383 0.866 0.497
Co3 0.134 0.617 0.503
Co4 0.500 0.500 0.000
Co5 0.866 0.383 0.497
Co6 0.000 0.000 0.000
Co7 0.760 0.760 0.959
Co8 0.240 0.240 0.041

=====

[3]
# Co2O3F GGA+U relaxed
# SG: P1, No. 1
# calculated volume: 9.526 Å³/atom
# D(E_F): 5.44 states/eV/cell
# distance to the lowest polymorph of the same formula: 0.013 eV per atom
data_Co2O3F
_symmetry_space_group_name_H-M 'P 1'
_symmetry_Int_Tables_number 1
_symmetry_space_group_name_Hall 'P 1'
_cell_length_a 4.406
_cell_length_b 5.923
_cell_length_c 9.248
_cell_angle_alpha 108.66
_cell_angle_beta 90.86
_cell_angle_gamma 90.10
loop_
_atom_site_label
_atom_site_fract_x
_atom_site_fract_y
_atom_site_fract_z
O1 0.704 0.673 0.348
O2 0.180 0.701 0.904
O3 0.674 0.925 0.845
O4 0.808 0.047 0.593
O5 0.805 0.795 0.100
O6 0.303 0.327 0.653
O7 0.318 0.577 0.155
O8 0.684 0.423 0.849
O9 0.201 0.452 0.403
O10 0.705 0.172 0.347
O11 0.300 0.828 0.654
O12 0.805 0.305 0.104
Co1 0.512 0.383 0.255
Co2 0.966 0.998 0.995
Co3 0.008 0.748 0.500
Co4 0.518 0.120 0.736
Co5 0.989 0.503 0.005
Co6 0.467 0.629 0.761
Co7 0.534 0.864 0.245
Co8 0.005 0.253 0.499
F1 0.781 0.555 0.610
F2 0.222 0.947 0.392
F3 0.197 0.202 0.896
F4 0.313 0.075 0.149

=====

[4]
# Co2OF3 GGA+U relaxed
# SG: Cmcm, No. 63
# calculated volume: 11.170 Å³/atom
# D(E_F): 2.60 states/eV/cell
# distance to the lowest polymorph of the same formula: 0.040 eV per atom
data_Co2OF3
_symmetry_space_group_name_H-M 'P 1'
_symmetry_Int_Tables_number 1
_symmetry_space_group_name_Hall 'P 1'
_cell_length_a 4.696
_cell_length_b 4.696
_cell_length_c 12.174
_cell_angle_alpha 90.00
_cell_angle_beta 90.00
_cell_angle_gamma 93.10
loop_
_atom_site_label
_atom_site_fract_x
_atom_site_fract_y
_atom_site_fract_z
O1 0.332 0.332 0.374
O2 0.668 0.668 0.626
O3 0.332 0.332 0.126
O4 0.668 0.668 0.874
F1 0.281 0.281 0.872
F2 0.227 0.832 0.250
F3 0.719 0.719 0.128
F4 0.832 0.227 0.250
F5 0.168 0.773 0.750
F6 0.799 0.201 0.000
F7 0.281 0.281 0.628
F8 0.773 0.168 0.750
F9 0.799 0.201 0.500
F10 0.201 0.799 0.000
F11 0.201 0.799 0.500
F12 0.719 0.719 0.372
Co1 0.488 0.488 0.750
Co2 0.512 0.512 0.250
Co3 0.500 0.500 0.000
Co4 0.962 0.962 0.625
Co5 0.962 0.962 0.875
Co6 0.500 0.500 0.500
Co7 0.038 0.038 0.375
Co8 0.038 0.038 0.125

=====

[5]
# Co2O3F GGA+U relaxed
# SG: Amm2, No. 38
# calculated volume: 9.479 Å³/atom
# D(E_F): 5.38 states/eV/cell
# distance to the lowest polymorph of the same formula: 0.009 eV per atom
data_Co2O3F
_symmetry_space_group_name_H-M 'P 1'
_symmetry_Int_Tables_number 1
_symmetry_space_group_name_Hall 'P 1'
_cell_length_a 4.384
_cell_length_b 4.384
_cell_length_c 8.889
_cell_angle_alpha 90.00
_cell_angle_beta 90.00
_cell_angle_gamma 92.55
loop_
_atom_site_label
_atom_site_fract_x
_atom_site_fract_y
_atom_site_fract_z
Co1 0.011 0.989 0.000
Co2 0.004 0.996 0.334
Co3 0.478 0.522 0.832
Co4 0.478 0.522 0.168
Co5 0.004 0.996 0.666
Co6 0.530 0.470 0.500
O1 0.195 0.805 0.831
O2 0.313 0.300 0.334
O3 0.313 0.300 0.666
O4 0.813 0.187 0.500
O5 0.195 0.805 0.169
O6 0.289 0.320 0.000
O7 0.700 0.687 0.666
O8 0.700 0.687 0.334
O9 0.680 0.711 0.000
F1 0.786 0.214 0.837
F2 0.225 0.775 0.500
F3 0.786 0.214 0.163

=====

[6]
# Co2O3F GGA+U relaxed
# SG: C2/m, No. 12
# calculated volume: 9.457 Å³/atom
# D(E_F): 7.90 states/eV/cell
# distance to the lowest polymorph of the same formula: 0.019 eV per atom
data_Co2O3F
_symmetry_space_group_name_H-M 'P 1'
_symmetry_Int_Tables_number 1
_symmetry_space_group_name_Hall 'P 1'
_cell_length_a 5.283
_cell_length_b 5.283
_cell_length_c 9.644
_cell_angle_alpha 69.95
_cell_angle_beta 69.95
_cell_angle_gamma 67.83
loop_
_atom_site_label
_atom_site_fract_x
_atom_site_fract_y
_atom_site_fract_z
Co1 0.500 0.500 0.000
Co2 0.729 0.729 0.514
Co3 0.271 0.271 0.486
Co4 0.122 0.630 0.750
Co5 0.000 0.000 0.000
Co6 0.878 0.370 0.250
Co7 0.630 0.122 0.750
Co8 0.370 0.878 0.250
F1 0.783 0.783 0.144
F2 0.044 0.044 0.641
F3 0.956 0.956 0.359
F4 0.217 0.217 0.856
O1 0.483 0.483 0.346
O2 0.202 0.702 0.903
O3 0.552 0.047 0.596
O4 0.298 0.798 0.097
O5 0.732 0.732 0.846
O6 0.517 0.517 0.654
O7 0.798 0.298 0.097
O8 0.953 0.448 0.404
O9 0.702 0.202 0.903
O10 0.268 0.268 0.154
O11 0.047 0.552 0.596
O12 0.448 0.953 0.404

=====

> Among the records above, which one has the highest calculated volume?

number 2

=====

> The lowest distance to the lowest polymorph of the same formula belongs to which entry?

number 2

=====

> Which value of distance to the lowest polymorph of the same formula does entry 6 give?

0.019 eV per atom

=====

> calculated volume of number 3 (Co2O3F)?

9.526 Å³/atom